DFT (PBE-GGA) results for an optimized crystal structure of Mg2MnSe.

Properties
- Formation energy (no corrections): -0.5 eV/f.u.
- Fermi-level density of states: 0.63 states/eV/atom

The structure in POSCAR format:
```
Mg2MnSe
1.0
5.970 0.067 -0.277
3.388 4.916 0.277
-4.332 -3.143 2.660
Mg Mn Se
2 1 1
Cartesian
0.072 0.039 0.000 Mg
2.907 -0.426 1.192 Mg
4.444 2.367 0.000 Mn
2.281 2.353 1.469 Se
```



DFT (PBE-GGA) results for an optimized crystal structure of ZnC2F.

Properties
- Formation energy (no corrections): 8.1 eV/f.u.
- Fermi-level density of states: 0.46 states/eV/atom

The structure in POSCAR format:
```
ZnC2F
1.0
-2.658 -0.493 -3.574
-1.075 -4.129 1.369
-5.766 -0.421 1.537
Zn C F
2 4 2
Cartesian
0.000 0.000 0.000 Zn
-5.145 -1.613 -1.570 Zn
-3.299 -0.941 -1.762 C
-2.383 -2.736 0.877 C
-5.699 -1.953 0.294 C
-7.616 -4.457 -0.745 C
-1.866 -2.311 -1.102 F
-4.354 -3.431 0.902 F
```



DFT (PBE-GGA) results for an optimized crystal structure of Pr5Al.

Properties
- Energy of formation from the pure elements: -8 kJ/mol of formula units
- Fermi-level density of states: 1.06 states/eV/atom

The structure in POSCAR format:
```
Pr5Al
1.0
-3.611 -4.161 -2.088
2.104 0.866 -5.363
2.898 -4.322 3.603
Pr Al
5 1
Cartesian
0.464 -2.847 -3.442 Pr
3.774 -2.247 -2.047 Pr
-1.805 -2.080 -1.044 Pr
1.228 -1.209 0.286 Pr
0.927 -4.771 -0.407 Pr
1.052 0.433 -2.682 Al
```



DFT (PBE-GGA) results for an optimized crystal structure of Pa2SbSe2.

Properties
- Formation energy (no corrections): -4.6 eV/f.u.
- Fermi-level density of states: 1.55 states/eV/atom

The structure in POSCAR format:
```
Pa2SbSe2
1.0
4.210 0.000 0.000
0.000 5.673 0.000
-2.105 -2.836 6.410
Pa Sb Se
2 1 2
Cartesian
2.105 0.000 2.208 Pa
0.000 2.836 4.202 Pa
0.000 0.000 0.000 Sb
0.000 0.000 4.236 Se
2.105 2.836 2.174 Se
```



DFT (PBE-GGA) results for an optimized crystal structure of GdDyFeAg.

Properties
- Energy of formation from the pure elements: -5 kJ/mol of formula units
- Fermi-level density of states: 1.91 states/eV/atom

The structure in POSCAR format:
```
GdDyFeAg
1.0
-0.861 4.470 2.069
-3.038 3.261 -2.267
-4.482 1.024 1.965
Gd Fe Ag Dy
1 1 1 1
Cartesian
-4.191 4.377 0.883 Gd
-6.286 6.566 1.325 Fe
-2.095 2.189 0.442 Ag
0.000 0.000 0.000 Dy
```



DFT (PBE-GGA) results for an optimized crystal structure of Sr2TlCl.

Properties
- Formation energy (no corrections): -4.0 eV/f.u.
- Fermi-level density of states: 0.31 states/eV/atom

The structure in POSCAR format:
```
Sr2TlCl
1.0
8.446 0.295 -0.008
7.280 4.292 -0.008
0.000 0.000 4.292
Cl Sr Tl
1 2 1
Cartesian
3.532 1.030 0.534 Cl
0.667 0.194 0.535 Sr
12.335 3.597 2.672 Sr
7.056 2.058 2.673 Tl
```